(1)
Here is crystalline NdAl2Ag6 at its relaxed geometry from Alexandria via LeMat-Bulk. Energies are from PBE.

Computed properties:
- Calculated density: 7.9 Mg/m³
- VASP energy: -3.43 eV per atom
- Total magnetic moment: 0.0 μB per formula unit
- E_form: -173 meV/atom

Cell: 4.345 4.345 9.399 Å, 90.00 90.00 90.00°
Space group P4/mmm (No. 123)
Unique sites:
Nd 0.000 0.000 0.000 x1
Al 0.500 0.500 0.135 x2
Ag 0.000 0.000 0.500 x1
Ag 0.000 0.500 0.291 x4
Ag 0.500 0.500 0.500 x1

(2)
Here is crystalline Y4SnRh at its relaxed geometry from Alexandria via LeMat-Bulk. Energies are from PBE.

Computed properties:
- Calculated density: 5.7 Mg/m³
- VASP energy: -6.80 eV per atom
- Total magnetic moment: 0.0 μB per formula unit
- E_form: -594 meV/atom

Cell: 8.990 13.493 6.082 Å, 90.00 115.24 90.00°
Space group C2/c (No. 15)
Unique sites:
Y 0.114 0.173 0.073 x8
Y 0.213 0.429 0.329 x8
Sn 0.000 0.372 0.750 x4
Rh 0.000 0.000 0.250 x4

(3)
Here is crystalline Ca2LaInS at its relaxed geometry from Alexandria via LeMat-Bulk. Energies are from PBE.

Computed properties:
- Calculated density: 3.8 Mg/m³
- VASP energy: -4.09 eV per atom
- Total magnetic moment: 0.0 μB per formula unit
- Formation energy from raw total energies: -4.67 eV per formula unit

Cell: 5.316 5.316 5.602 Å, 90.00 90.00 90.00°
Space group P4/mmm (No. 123)
Unique sites:
Ca 0.000 0.500 0.000 x2
La 0.000 0.000 0.500 x1
In 0.500 0.500 0.500 x1
S 0.000 0.000 0.000 x1

(4)
Here is crystalline Ta2CdGeAs at its relaxed geometry from Alexandria via LeMat-Bulk. Energies are from PBE.

Computed properties:
- Calculated density: 8.2 Mg/m³
- VASP energy: -4.76 eV per atom
- Total magnetic moment: 0.8 μB per formula unit
- E_form: 2021 meV/atom

Cell: 5.144 5.144 4.756 Å, 90.00 90.00 90.00°
Space group P4/mmm (No. 123)
Unique sites:
Ta 0.000 0.500 0.000 x2
Cd 0.000 0.000 0.000 x1
Ge 0.500 0.500 0.500 x1
As 0.000 0.000 0.500 x1